Record 1
Here is a geometry-optimized Tb12Ce2Y5 structure from Alexandria. Energies are from PBE-GGA.

Geometry as POSCAR:
```
Tb12Ce2Y5
1.0
9.128 0.000 0.000
-4.564 11.217 -1.774
0.000 -5.308 6.856
Tb Y Ce
12 5 2
direct
0.675 0.709 0.947
0.966 0.291 0.053
0.034 0.709 0.947
0.932 0.865 0.740
0.325 0.291 0.053
0.559 0.118 0.772
0.561 0.735 0.425
0.068 0.135 0.260
0.174 0.735 0.425
0.439 0.265 0.575
0.441 0.882 0.228
0.826 0.265 0.575
0.232 0.464 0.901
0.000 0.000 0.500
0.714 0.429 0.388
0.768 0.536 0.099
0.286 0.571 0.612
0.650 0.000 0.000
0.350 0.000 0.000
```

Output
volume = 32.4 A^3/atom


Record 2
Here is a geometry-optimized Ca2SbPPt6 structure from Alexandria. Energies are from PBE-GGA.

Geometry as POSCAR:
```
Ca2SbPPt6
1.0
-0.910 2.839 -4.777
6.186 -4.377 -3.780
-5.696 -5.939 -2.444
Sb Pt P Ca
2 12 2 4
direct
0.500 0.288 0.000
0.000 0.712 0.500
0.000 0.887 0.246
0.745 0.456 0.500
0.751 0.996 0.500
0.749 0.004 0.000
0.245 0.544 0.000
0.255 0.456 0.500
0.755 0.544 0.000
0.500 0.113 0.746
0.500 0.113 0.254
0.251 0.004 0.000
0.000 0.887 0.754
0.249 0.996 0.500
0.000 0.762 0.000
0.500 0.238 0.500
0.500 0.729 0.743
0.000 0.271 0.757
0.500 0.729 0.257
0.000 0.271 0.243
```

Output
ΔE_f (raw) = -737 meV per atom
volume = 20.5 A^3/atom


Record 3
Here is a geometry-optimized Rb2HoTmTe4 structure from Alexandria. Energies are from PBE-GGA.

Geometry as POSCAR:
```
Rb2HoTmTe4
1.0
-0.164 3.986 2.078
-7.495 0.728 -1.988
0.194 -4.122 7.920
Ho Te Rb Tm
1 4 2 1
direct
0.500 0.500 0.000
0.500 0.231 0.197
0.000 0.266 0.802
0.500 0.769 0.803
0.000 0.734 0.198
0.000 0.500 0.500
0.500 0.000 0.500
0.000 0.000 0.000
```

Output
ΔE_f (raw) = -1367 meV per atom
volume = 37.4 A^3/atom


Record 4
Here is a geometry-optimized Cd3Ag structure from Alexandria. Energies are from PBE-GGA.

Geometry as POSCAR:
```
Cd3Ag
1.0
-1.359 1.216 2.560
-4.350 -1.315 -1.684
0.469 -4.769 2.513
Ag Cd
1 3
direct
0.000 0.000 0.998
0.500 0.500 0.841
0.500 0.000 0.501
0.000 0.500 0.326
```

Output
volume = 20.6 A^3/atom


Record 5
Here is a geometry-optimized Sr12Zn3N5 structure from Alexandria. Energies are from PBE-GGA.

Geometry as POSCAR:
```
Sr12Zn3N5
1.0
14.719 0.000 0.000
-4.906 13.877 0.000
-4.906 -6.939 12.018
Sr N Zn
48 20 12
direct
0.817 0.898 0.012
0.988 0.602 0.183
0.305 0.419 0.817
0.113 0.695 0.512
0.613 0.012 0.195
0.817 0.919 0.305
0.602 0.988 0.683
0.317 0.512 0.398
0.398 0.387 0.581
0.805 0.488 0.387
0.398 0.012 0.317
0.387 0.988 0.805
0.683 0.488 0.602
0.183 0.081 0.695
0.919 0.817 0.805
0.183 0.102 0.988
0.898 0.081 0.887
0.695 0.113 0.012
0.695 0.581 0.183
0.988 0.387 0.305
0.102 0.183 0.488
0.305 0.887 0.988
0.581 0.695 0.683
0.602 0.613 0.419
0.887 0.305 0.488
0.512 0.195 0.113
0.805 0.317 0.919
0.195 0.683 0.081
0.613 0.602 0.919
0.512 0.317 0.898
0.081 0.183 0.195
0.683 0.195 0.581
0.195 0.512 0.613
0.102 0.919 0.113
0.012 0.613 0.695
0.488 0.683 0.102
0.317 0.805 0.419
0.887 0.581 0.898
0.898 0.817 0.512
0.488 0.805 0.887
0.581 0.887 0.398
0.081 0.898 0.387
0.012 0.398 0.817
0.919 0.102 0.613
0.419 0.113 0.602
0.387 0.398 0.081
0.419 0.305 0.317
0.113 0.419 0.102
0.375 0.250 0.125
0.750 0.625 0.375
0.875 0.625 0.750
0.500 0.000 0.000
0.250 0.875 0.125
0.375 0.125 0.750
0.750 0.125 0.875
0.500 0.500 0.500
0.625 0.750 0.875
0.000 0.000 0.500
0.250 0.375 0.625
0.625 0.875 0.250
0.875 0.250 0.625
0.500 0.000 0.500
0.000 0.500 0.500
0.000 0.500 0.000
0.125 0.750 0.375
0.500 0.500 0.000
0.000 0.000 0.000
0.125 0.375 0.250
0.125 0.875 0.750
0.250 0.625 0.875
0.375 0.625 0.250
0.875 0.750 0.125
0.750 0.375 0.125
0.875 0.125 0.250
0.250 0.125 0.375
0.375 0.750 0.625
0.750 0.875 0.625
0.625 0.375 0.750
0.625 0.250 0.375
0.125 0.250 0.875
```

Output
ΔE_f (raw) = -288 meV per atom
volume = 30.7 A^3/atom


Record 6
Here is a geometry-optimized LaEuDy2 structure from Alexandria. Energies are from PBE-GGA.

Geometry as POSCAR:
```
LaEuDy2
1.0
-1.484 -0.253 3.338
-3.632 -0.281 0.373
-0.839 -12.049 0.723
La Dy Eu
1 2 1
direct
0.500 0.500 0.500
0.248 0.248 0.256
0.752 0.752 0.744
0.000 0.000 0.000
```

Output
volume = 34.6 A^3/atom
energy above the most stable polymorph in this dataset = 0.000 eV/atom


Record 7
Here is a geometry-optimized Y2BPbO structure from Alexandria. Energies are from PBE-GGA.

Geometry as POSCAR:
```
Y2BPbO
1.0
-0.047 0.865 -5.329
-1.765 -2.919 -0.458
-4.635 2.727 0.483
Pb O B Y
1 1 1 2
direct
0.500 0.500 0.500
0.000 0.500 0.000
0.000 0.000 0.000
0.000 0.000 0.500
0.500 0.000 0.000
```

Output
ΔE_f (raw) = -243 meV per atom
volume = 20.1 A^3/atom


Record 8
Here is a geometry-optimized BiC3Cl structure from Alexandria. Energies are from PBE-GGA.

Geometry as POSCAR:
```
BiC3Cl
1.0
-4.606 0.043 0.867
0.863 -0.259 4.599
0.090 4.679 0.246
C Cl Bi
3 1 1
direct
0.000 0.000 0.500
0.500 0.000 0.000
0.000 0.500 0.000
0.500 0.500 0.500
0.000 0.000 0.000
```

Output
ΔE_f (raw) = 3383 meV per atom
volume = 20.6 A^3/atom
energy above the most stable polymorph in this dataset = 0.231 eV/atom


Record 9
Here is a geometry-optimized Na4Tb3SbTe8 structure from Alexandria. Energies are from PBE-GGA.

Geometry as POSCAR:
```
Na4Tb3SbTe8
1.0
8.900 0.000 0.000
0.000 9.141 0.162
-4.450 -4.444 6.294
Na Te Tb Sb
4 8 3 1
direct
0.000 0.000 0.500
0.500 0.000 0.500
0.000 0.000 0.000
0.500 0.000 0.000
0.254 0.269 0.011
0.256 0.267 0.511
0.243 0.731 0.989
0.243 0.731 0.486
0.744 0.733 0.489
0.757 0.269 0.011
0.757 0.269 0.514
0.746 0.731 0.989
0.000 0.500 0.500
0.500 0.500 0.000
0.500 0.500 0.500
0.000 0.500 0.000
```

Output
ΔE_f (raw) = -1101 meV per atom
volume = 32.4 A^3/atom


Record 10
Here is a geometry-optimized Sr5Hg2Bi structure from Alexandria. Energies are from PBE-GGA.

Geometry as POSCAR:
```
Sr5Hg2Bi
1.0
-6.141 -6.306 -0.355
6.050 -5.731 -2.856
1.658 4.031 9.008
Sr Bi Hg
10 2 4
direct
0.478 0.311 0.288
0.311 0.811 0.288
0.689 0.189 0.712
0.189 0.022 0.712
0.022 0.522 0.712
0.811 0.978 0.288
0.978 0.478 0.288
0.522 0.689 0.712
0.000 0.000 0.000
0.500 0.500 0.000
0.250 0.250 0.500
0.750 0.750 0.500
0.372 0.872 0.000
0.128 0.372 0.000
0.872 0.628 0.000
0.628 0.128 0.000
```

Output
volume = 38.0 A^3/atom


no.,E_tot (eV/atom)
1,-5.114
2,-5.715
3,-4.311
4,-1.427
5,-3.570
6,-6.047
7,-5.898
8,-3.297
9,-4.128
10,-2.151